VASP calculation (PBE) on a geometry-optimized SbBr3F structure.

Unit cell a=4.9632 b=4.9632 c=4.9632 alpha=90.00 beta=90.00 gamma=90.00
With the nearest neighbours (Å) after each atom.
Space group Pm-3m (No. 221)
Asymmetric unit:
Sb (0.0000, 0.0000, 0.0000) [1 per cell]  12 Br 3.51
Br (0.0000, 0.5000, 0.5000) [3 per cell]  2 F 2.48
F (0.5000, 0.5000, 0.5000) [1 per cell]  6 Br 2.48

Summary:
Density ... 5.17 g/cm3
DFT total energy ... -1.911 eV per atom
Polymorph energy (0 for the lowest one) ... 1.1134 eV per atom
Formation energy from raw total energies ... 291 meV/atom
Spin magnetization ... 0.00 μB per formula unit